Entry a
Below is a relaxed structure of YNb3Cl, with properties calculated at the PBE level.

Values from the calculation:
**M_tot**: 0.000 μB per atom

Unit cell a=4.6964 b=4.6964 c=4.6964 alpha=90.00 beta=90.00 gamma=90.00
Closest atoms and distances in Å follow each position.
Fractional positions:
Y: 0.5000 0.5000 0.5000  12 Nb 3.32
Nb: 0.0000 0.5000 0.0000  2 Cl 2.35
Nb: 0.0000 0.0000 0.5000  2 Cl 2.35
Nb: 0.5000 0.0000 0.0000  2 Cl 2.35
Cl: 0.0000 0.0000 0.0000  6 Nb 2.35


Entry b
Below is a relaxed structure of YNb3Cl, with properties calculated at the PBE level.

Values from the calculation:
**M_tot**: 0.000 μB per atom

Unit cell a=5.0811 b=5.0811 c=5.0811 alpha=90.00 beta=90.00 gamma=90.00
Closest atoms and distances in Å follow each position.
Fractional positions:
Y: 0.0000 0.0000 0.0000  6 Nb 2.54
Nb: 0.0000 0.5000 0.0000  2 Y 2.54
Nb: 0.0000 0.0000 0.5000  2 Y 2.54
Nb: 0.5000 0.0000 0.0000  2 Y 2.54
Cl: 0.5000 0.5000 0.5000  12 Nb 3.59


Top of the stability list: entry a, leading by 1834 meV per atom.